Below is an optimized crystal structure of AcNdMoO6, with properties calculated at the PBE+U level.

Values from the calculation:
D(E_F): 0.00 states/eV per cell
E_tot: -7.699 eV/atom

Cell lengths 5.7354, 5.7355, 5.1773 Å; angles 90.00, 90.00, 60.00 degrees
Atoms (fractional coordinates):
Ac (0.0000, 0.0000, 0.0000)
Nd (0.6666, 0.6667, 0.5000)
Mo (0.3333, 0.3333, 0.5000)
O (0.0504, 0.3345, 0.2862)
O (0.3344, 0.0504, 0.7138)
O (0.6151, 0.3345, 0.7138)
O (0.0503, 0.6152, 0.7138)
O (0.3345, 0.6151, 0.2862)
O (0.6152, 0.0504, 0.2862)